Here is Pu2CdBi3 after structural relaxation from Alexandria. Energies are from PBE-GGA.

The calculation puts the energy above the most stable polymorph in this dataset at 0.00 eV/f.u. Its density of states at the Fermi level is 19.53 states/eV/f.u. The total energy is -7.003 eV per atom. The calculated formation energy comes out at -0.133 eV per atom.

It has space group Pnnm (No. 58), with a = 6.441 Å, b = 16.163 Å, c = 3.398 Å, α = 90.00°, β = 90.00° and γ = 90.00°. The asymmetric unit holds Pu at (0.202, 0.155, 0.000), Cd at (0.000, 0.500, 0.000), Bi at (0.000, 0.000, 0.500) and Bi at (0.197, 0.332, 0.500).